1.
Al2AgSe: relaxed, PBE.

Output
- Calculated density: 5081 kg/m³
- VASP energy: -26.54 eV/cell
- Uncorrected formation energy: 0.14 eV per atom
- Fermi-level density of states: 2.71 states/eV per cell

```
data_Al2AgSe
_chemical_formula_sum 'Al4 Ag2 Se2'
_symmetry_space_group_name_H-M 'I 4/m m m'
_symmetry_Int_Tables_number 139
_symmetry_space_group_name_Hall '-I 4 2'
_cell_length_a 3.947
_cell_length_b 3.947
_cell_length_c 10.102
_cell_angle_alpha 90.00
_cell_angle_beta 90.00
_cell_angle_gamma 90.00
loop_
_atom_site_label
_atom_site_fract_x
_atom_site_fract_y
_atom_site_fract_z
Al1 0.000 0.500 0.250
Ag1 0.000 0.000 0.000
Se1 0.000 0.000 0.500
```

---

2.
AlAgSe3: relaxed, PBE.

Output
- Calculated density: 4639 kg/m³
- VASP energy: -14.01 eV/cell
- Uncorrected formation energy: 0.61 eV per atom
- Fermi-level density of states: 6.07 states/eV per cell

```
data_AlAgSe3
_chemical_formula_sum 'Al1 Ag1 Se3'
_symmetry_space_group_name_H-M 'P m -3 m'
_symmetry_Int_Tables_number 221
_symmetry_space_group_name_Hall '-P 4 2 3'
_cell_length_a 5.105
_cell_length_b 5.105
_cell_length_c 5.105
_cell_angle_alpha 90.00
_cell_angle_beta 90.00
_cell_angle_gamma 90.00
loop_
_atom_site_label
_atom_site_fract_x
_atom_site_fract_y
_atom_site_fract_z
Al1 0.000 0.000 0.000
Ag1 0.500 0.500 0.500
Se1 0.000 0.500 0.500
```

---

3.
AlAgSe2: relaxed, PBE.

Output
- Calculated density: 5090 kg/m³
- VASP energy: -47.14 eV/cell
- Uncorrected formation energy: -0.54 eV per atom
- Fermi-level density of states: 0.00 states/eV per cell

```
data_AlAgSe2
_chemical_formula_sum 'Al3 Ag3 Se6'
_symmetry_space_group_name_H-M 'R -3 m'
_symmetry_Int_Tables_number 166
_symmetry_space_group_name_Hall '-R 3 2"'
_cell_length_a 3.7793
_cell_length_b 3.7793
_cell_length_c 23.1640
_cell_angle_alpha 90.00
_cell_angle_beta 90.00
_cell_angle_gamma 120.00
loop_
_atom_site_label
_atom_site_fract_x
_atom_site_fract_y
_atom_site_fract_z
Al1 0.0000 0.0000 0.0000
Ag1 0.0000 0.0000 0.5000
Se1 0.0000 0.0000 0.3922
```

---

Which of these has the lowest calculated density? AlAgSe3